A plane-wave DFT calculation with PBE-GGA was carried out for crystalline AlCdCl3 at its relaxed geometry.

a = 5.2115 Å, b = 5.2115 Å, c = 5.2115 Å
α = 90.00°, β = 90.00°, γ = 90.00°
Closest atoms and distances in Å follow each position.
Positions (direct):
Cl1 0.0000 0.5000 0.0000  2 Cd 2.61
Cl2 0.0000 0.0000 0.5000  2 Cd 2.61
Cl3 0.5000 0.0000 0.0000  2 Cd 2.61
Al1 0.5000 0.5000 0.5000  12 Cl 3.69
Cd1 0.0000 0.0000 0.0000  6 Cl 2.61

## Properties
As for the distance to the lowest polymorph of the same formula: 0.58 eV per formula unit. Its space group is No. 221. The formation energy without anion corrections comes out at -642.9 meV per atom.


A plane-wave DFT calculation with PBE-GGA was carried out for crystalline CsUTl2S6 at its relaxed geometry.

a = 7.3551 Å, b = 7.2951 Å, c = 11.6093 Å
α = 90.00°, β = 94.56°, γ = 90.00°
Closest atoms and distances in Å follow each position.
Positions (direct):
Cs1 0.5000 0.0000 0.0000  4 S 3.40-3.64
Cs2 0.0000 0.5000 0.5000  4 S 3.40-3.64
U1 0.5000 0.0000 0.5000  6 S 2.47-2.72
U2 0.0000 0.5000 0.0000  6 S 2.47-2.72
Tl1 0.9420 0.9821 0.2626  4 S 2.61-2.69
Tl2 0.4420 0.5179 0.7626  4 S 2.61-2.69
Tl3 0.0580 0.0179 0.7374  4 S 2.61-2.69
Tl4 0.5580 0.4821 0.2374  4 S 2.61-2.69
S1 0.3190 0.5923 0.0740  1 U 2.52, 1 Tl 2.61
S2 0.8190 0.9077 0.5740  1 U 2.52, 1 Tl 2.61
S3 0.6810 0.4077 0.9260  1 U 2.52, 1 Tl 2.61
S4 0.1810 0.0923 0.4260  1 U 2.52, 1 Tl 2.61
S5 0.4650 0.6907 0.4138  1 U 2.47, 1 Tl 2.68
S6 0.9650 0.8093 0.9138  1 U 2.47, 1 Tl 2.68
S7 0.5350 0.3093 0.5862  1 U 2.47, 1 Tl 2.68
S8 0.0350 0.1907 0.0862  1 U 2.47, 1 Tl 2.68
S9 0.8832 0.6303 0.2010  2 Tl 2.69, 1 U 2.72
S10 0.3832 0.8697 0.7010  2 Tl 2.69, 1 U 2.72
S11 0.1168 0.3697 0.7990  2 Tl 2.69, 1 U 2.72
S12 0.6168 0.1303 0.2990  2 Tl 2.69, 1 U 2.72

## Properties
Its space group is No. 14. The formation energy without anion corrections comes out at -641.1 meV per atom.


A plane-wave DFT calculation with PBE-GGA was carried out for crystalline RbIn2CoB at its relaxed geometry.

a = 5.1338 Å, b = 4.1023 Å, c = 5.1338 Å
α = 90.00°, β = 90.00°, γ = 90.00°
Closest atoms and distances in Å follow each position.
Positions (direct):
B1 0.0000 0.5000 0.0000  2 Co 2.05
Co1 0.0000 0.0000 0.0000  2 B 2.05
Rb1 0.5000 0.5000 0.5000  8 In 3.29, 4 B 3.63
In1 0.0000 0.0000 0.5000  2 Co 2.57
In2 0.5000 0.0000 0.0000  2 Co 2.57

## Properties
The value obtained for the energy of formation from the pure elements is 0.44 eV per atom. Its space group is No. 123.


A plane-wave DFT calculation with PBE-GGA was carried out for crystalline RbCd2GaAu at its relaxed geometry.

a = 5.4755 Å, b = 5.4755 Å, c = 5.1016 Å
α = 90.00°, β = 90.00°, γ = 90.00°
Closest atoms and distances in Å follow each position.
Positions (direct):
Au1 0.0000 0.0000 0.5000  2 Ga 2.55
Ga1 0.0000 0.0000 0.0000  2 Au 2.55, 4 Cd 2.74
Rb1 0.5000 0.5000 0.5000  8 Cd 3.74, 4 Au 3.87
Cd1 0.0000 0.5000 0.0000  2 Ga 2.74
Cd2 0.5000 0.0000 0.0000  2 Ga 2.74

## Properties
The value obtained for the energy of formation from the pure elements is -0.04 eV per atom. As for the distance to the lowest polymorph of the same formula: 0.10 eV per formula unit. Its space group is No. 123.


A plane-wave DFT calculation with PBE-GGA was carried out for crystalline TaIr4Ru at its relaxed geometry.

a = 4.5336 Å, b = 5.4854 Å, c = 7.9396 Å
α = 70.17°, β = 90.00°, γ = 90.00°
Closest atoms and distances in Å follow each position.
Positions (direct):
Ta1 0.2500 0.2994 0.9006  8 Ir 2.72-2.79, 4 Ru 2.74-2.76
Ta2 0.7500 0.7006 0.0994  8 Ir 2.72-2.79, 4 Ru 2.74-2.76
Ir1 0.7501 0.2887 0.4229  7 Ir 2.54-2.77, 1 Ru 2.69, 1 Ta 2.79
Ir2 0.7500 0.1070 0.7836  5 Ir 2.69-2.75, 3 Ta 2.73-2.79, 3 Ru 2.76-2.80
Ir3 0.2501 0.2068 0.5773  7 Ir 2.54-2.77, 1 Ru 2.70, 1 Ta 2.78
Ir4 0.2500 0.3947 0.2159  5 Ir 2.70-2.75, 3 Ta 2.72-2.79, 3 Ru 2.77-2.80
Ir5 0.2499 0.7113 0.5771  7 Ir 2.54-2.77, 1 Ru 2.69, 1 Ta 2.79
Ir6 0.7499 0.7932 0.4227  7 Ir 2.54-2.77, 1 Ru 2.70, 1 Ta 2.78
Ir7 0.2500 0.8930 0.2164  5 Ir 2.69-2.75, 3 Ta 2.73-2.79, 3 Ru 2.76-2.80
Ir8 0.7500 0.6053 0.7841  5 Ir 2.70-2.75, 3 Ta 2.72-2.79, 3 Ru 2.77-2.80
Ru1 0.2500 0.8055 0.8886  8 Ir 2.69-2.80, 4 Ta 2.74-2.76
Ru2 0.7500 0.1945 0.1114  8 Ir 2.69-2.80, 4 Ta 2.74-2.76

## Properties
The value obtained for the energy of formation from the pure elements is -0.13 eV per atom. As for the distance to the lowest polymorph of the same formula: 0.00 eV per formula unit. Its space group is No. 11.


A plane-wave DFT calculation with PBE-GGA was carried out for crystalline Hf2Nb5Re at its relaxed geometry.

a = 4.6422 Å, b = 4.6422 Å, c = 7.6459 Å
α = 107.67°, β = 107.67°, γ = 90.00°
Closest atoms and distances in Å follow each position.
Positions (direct):
Hf1 0.7508 0.7508 0.5016  8 Nb 2.98-3.00, 4 Hf 3.28
Hf2 0.2492 0.2492 0.4984  8 Nb 2.98-3.00, 4 Hf 3.28
Nb1 0.5000 0.5000 0.0000  8 Nb 2.80
Nb2 0.8863 0.3863 0.7727  2 Nb 2.80, 2 Re 2.80, 4 Hf 2.98-3.00
Nb3 0.3863 0.8863 0.7727  2 Re 2.80, 2 Nb 2.80, 4 Hf 2.98-3.00
Nb4 0.1137 0.6137 0.2273  2 Nb 2.80, 2 Re 2.80, 4 Hf 2.98-3.00
Nb5 0.6137 0.1137 0.2273  2 Re 2.80, 2 Nb 2.80, 4 Hf 2.98-3.00
Re1 0.0000 0.0000 0.0000  8 Nb 2.80

## Properties
The value obtained for the energy of formation from the pure elements is -0.06 eV per atom. Its space group is No. 139.


A plane-wave DFT calculation with PBE-GGA was carried out for crystalline SnAs at its relaxed geometry.

a = 11.1794 Å, b = 11.1794 Å, c = 4.1592 Å
α = 90.00°, β = 90.00°, γ = 90.00°
Closest atoms and distances in Å follow each position.
Positions (direct):
Sn1 0.7861 0.4474 0.5000  4 As 2.72-2.89
Sn2 0.2139 0.5526 0.5000  4 As 2.72-2.89
Sn3 0.5526 0.7861 0.5000  4 As 2.72-2.89
Sn4 0.4474 0.2139 0.5000  4 As 2.72-2.89
Sn5 0.9209 0.8012 0.0000  3 As 2.74-2.83
Sn6 0.0791 0.1988 0.0000  3 As 2.74-2.83
Sn7 0.1988 0.9209 0.0000  3 As 2.74-2.83
Sn8 0.8012 0.0791 0.0000  3 As 2.74-2.83
As1 0.7925 0.7058 0.5000  4 Sn 2.74-2.89
As2 0.2075 0.2942 0.5000  4 Sn 2.74-2.89
As3 0.2942 0.7925 0.5000  4 Sn 2.74-2.89
As4 0.7058 0.2075 0.5000  4 Sn 2.74-2.89
As5 0.9388 0.4096 0.0000  1 As 2.44, 2 Sn 2.72
As6 0.0612 0.5904 0.0000  1 As 2.44, 2 Sn 2.72
As7 0.5904 0.9388 0.0000  1 As 2.44, 2 Sn 2.72
As8 0.4096 0.0612 0.0000  1 As 2.44, 2 Sn 2.72

## Properties
The value obtained for the energy of formation from the pure elements is 0.03 eV per atom. Its space group is No. 83.


A plane-wave DFT calculation with PBE-GGA was carried out for crystalline Zr2Co at its relaxed geometry.

a = 5.5633 Å, b = 5.5633 Å, c = 5.5633 Å
α = 60.00°, β = 60.00°, γ = 60.00°
Closest atoms and distances in Å follow each position.
Positions (direct):
Zr1 0.1250 0.6250 0.1250  6 Zr 2.78
Zr2 0.1250 0.1250 0.6250  6 Zr 2.78
Zr3 0.6250 0.1250 0.1250  6 Zr 2.78
Zr4 0.1250 0.1250 0.1250  6 Zr 2.78
Co1 0.7500 0.7500 0.7500  12 Zr 3.26, 4 Co 3.41
Co2 0.5000 0.5000 0.5000  12 Zr 3.26, 4 Co 3.41

## Properties
The value obtained for the energy of formation from the pure elements is 0.82 eV per atom. Its space group is No. 227.


A plane-wave DFT calculation with PBE-GGA was carried out for crystalline KPRu2 at its relaxed geometry.

a = 2.9383 Å, b = 2.9383 Å, c = 8.4307 Å
α = 90.00°, β = 90.00°, γ = 90.00°
Closest atoms and distances in Å follow each position.
Positions (direct):
K1 0.5000 0.5000 0.2500  4 K 2.94
P1 0.5000 0.5000 0.7500  8 Ru 2.46
Ru1 0.0000 0.0000 0.9052  4 P 2.46, 1 Ru 2.62
Ru2 0.0000 0.0000 0.5948  4 P 2.46, 1 Ru 2.62

## Properties
The value obtained for the energy of formation from the pure elements is 0.35 eV per atom. Its space group is No. 123.


A plane-wave DFT calculation with PBE-GGA was carried out for crystalline CsZn2I at its relaxed geometry.

a = 10.0343 Å, b = 10.0343 Å, c = 7.9897 Å
α = 51.10°, β = 51.10°, γ = 90.00°
Closest atoms and distances in Å follow each position.
Positions (direct):
Cs1 0.0000 0.0000 0.0000  2 I 3.67, 4 Zn 3.88
Cs2 0.7500 0.2500 0.5000  2 I 3.67, 4 Zn 3.88
I1 0.5000 0.5000 0.0000  4 Zn 3.47, 2 Cs 3.67
I2 0.2500 0.7500 0.5000  4 Zn 3.47, 2 Cs 3.67
Zn1 0.5950 0.1250 0.2500  2 I 3.47, 2 Zn 3.72, 2 Cs 3.88
Zn2 0.1550 0.6250 0.2500  2 I 3.47, 2 Zn 3.72, 2 Cs 3.88
Zn3 0.3750 0.4050 0.7500  2 I 3.47, 2 Zn 3.72, 2 Cs 3.88
Zn4 0.8750 0.8450 0.7500  2 I 3.47, 2 Zn 3.72, 2 Cs 3.88

## Properties
Its space group is No. 122. The formation energy without anion corrections comes out at -186.1 meV per atom.


A plane-wave DFT calculation with PBE-GGA was carried out for crystalline Tb2Pr3Nd6Ho at its relaxed geometry.

a = 6.3447 Å, b = 6.3447 Å, c = 12.0968 Å
α = 95.03°, β = 95.03°, γ = 120.02°
Closest atoms and distances in Å follow each position.
Positions (direct):
Tb1 0.3333 0.6667 0.0000  6 Nd 3.60-3.61, 3 Ho 3.66, 3 Tb 3.66
Tb2 0.6667 0.3333 0.0000  6 Nd 3.60-3.61, 3 Ho 3.66, 3 Tb 3.66
Pr1 0.1667 0.8333 0.5000  6 Pr 3.66, 6 Nd 3.70
Pr2 0.8333 0.1667 0.5000  6 Pr 3.66, 6 Nd 3.70
Pr3 0.5000 0.5000 0.5000  6 Pr 3.66, 6 Nd 3.70
Nd1 0.9178 0.5848 0.7548  1 Ho 3.60, 2 Tb 3.60-3.61, 6 Nd 3.66-3.67, 3 Pr 3.70
Nd2 0.7491 0.7491 0.2453  1 Ho 3.60, 2 Tb 3.61, 6 Nd 3.66-3.67, 3 Pr 3.70
Nd3 0.0822 0.4152 0.2452  1 Ho 3.60, 2 Tb 3.60-3.61, 6 Nd 3.66-3.67, 3 Pr 3.70
Nd4 0.5848 0.9178 0.7548  1 Ho 3.60, 2 Tb 3.60-3.61, 6 Nd 3.66-3.67, 3 Pr 3.70
Nd5 0.2509 0.2509 0.7547  1 Ho 3.60, 2 Tb 3.61, 6 Nd 3.66-3.67, 3 Pr 3.70
Nd6 0.4152 0.0822 0.2452  1 Ho 3.60, 2 Tb 3.60-3.61, 6 Nd 3.66-3.67, 3 Pr 3.70
Ho1 0.0000 0.0000 0.0000  6 Nd 3.60, 6 Tb 3.66

## Properties
The value obtained for the energy of formation from the pure elements is 0.02 eV per atom. Its space group is No. 12.


A plane-wave DFT calculation with PBE-GGA was carried out for crystalline TlHg3H3 at its relaxed geometry.

a = 3.4459 Å, b = 10.5881 Å, c = 10.5881 Å
α = 120.00°, β = 90.00°, γ = 90.00°
Closest atoms and distances in Å follow each position.
Positions (direct):
Tl1 0.2500 0.3333 0.6667  6 H 2.51
Tl2 0.7500 0.6667 0.3333  6 H 2.51
Hg1 0.7500 0.1317 0.8655  1 H 1.84
Hg2 0.7500 0.7337 0.8683  1 H 1.84
Hg3 0.2500 0.8655 0.7337  1 H 1.84
Hg4 0.7500 0.1345 0.2663  1 H 1.84
Hg5 0.2500 0.2663 0.1317  1 H 1.84
Hg6 0.2500 0.8683 0.1345  1 H 1.84
H1 0.7500 0.2354 0.4671  1 Hg 1.84
H2 0.7500 0.2318 0.7646  1 Hg 1.84
H3 0.2500 0.4671 0.2318  1 Hg 1.84
H4 0.7500 0.5329 0.7682  1 Hg 1.84
H5 0.2500 0.7682 0.2354  1 Hg 1.84
H6 0.2500 0.7646 0.5329  1 Hg 1.84

## Properties
Its space group is No. 176. Its uncorrected energy is -0.113 Ry per atom.


Repeat the first record exactly.
A plane-wave DFT calculation with PBE-GGA was carried out for crystalline AlCdCl3 at its relaxed geometry.

a = 5.2115 Å, b = 5.2115 Å, c = 5.2115 Å
α = 90.00°, β = 90.00°, γ = 90.00°
Closest atoms and distances in Å follow each position.
Positions (direct):
Cl1 0.0000 0.5000 0.0000  2 Cd 2.61
Cl2 0.0000 0.0000 0.5000  2 Cd 2.61
Cl3 0.5000 0.0000 0.0000  2 Cd 2.61
Al1 0.5000 0.5000 0.5000  12 Cl 3.69
Cd1 0.0000 0.0000 0.0000  6 Cl 2.61

## Properties
As for the distance to the lowest polymorph of the same formula: 0.58 eV per formula unit. Its space group is No. 221. The formation energy without anion corrections comes out at -642.9 meV per atom.